# 1
Below is PdPt8Rh6 after structural relaxation, with properties calculated at the PBE level.

Computed properties:
The space group is P-3. The formation enthalpy at 0 K comes out at 0.217 eV/atom. The energy above the most stable polymorph in this dataset comes out at 71 meV per atom.

Cell lengths 10.119, 10.119, 2.719 Å; angles 90.00, 90.00, 120.00 degrees
Positions (direct):
Pd (0.000, 0.000, 0.000)
Pt (0.082, 0.794, 0.273)
Pt (0.206, 0.288, 0.273)
Pt (0.288, 0.082, 0.727)
Pt (0.333, 0.667, 0.748)
Pt (0.667, 0.333, 0.252)
Pt (0.712, 0.918, 0.273)
Pt (0.794, 0.712, 0.727)
Pt (0.918, 0.206, 0.727)
Rh (0.090, 0.468, 0.245)
Rh (0.378, 0.910, 0.245)
Rh (0.468, 0.378, 0.755)
Rh (0.532, 0.622, 0.245)
Rh (0.622, 0.090, 0.755)
Rh (0.910, 0.532, 0.755)

# 2
Below is ScPN2 after structural relaxation, with properties calculated at the PBE level.

Computed properties:
The space group is R-3m. The uncorrected energy is -7.689 eV per atom.

Cell lengths 3.219, 3.219, 16.949 Å; angles 90.00, 90.00, 120.00 degrees
Positions (direct):
Sc (0.000, 0.000, 0.000)
Sc (0.333, 0.667, 0.667)
Sc (0.667, 0.333, 0.333)
P (0.000, 0.000, 0.500)
P (0.333, 0.667, 0.167)
P (0.667, 0.333, 0.833)
N (0.000, 0.000, 0.403)
N (0.000, 0.000, 0.597)
N (0.333, 0.667, 0.070)
N (0.333, 0.667, 0.263)
N (0.667, 0.333, 0.737)
N (0.667, 0.333, 0.930)

# 3
Below is VAgSe4 after structural relaxation, with properties calculated at the PBE level.

Computed properties:
The space group is P-1. The uncorrected energy is -4.619 eV per atom.

Cell lengths 6.032, 6.289, 7.469 Å; angles 109.82, 105.13, 91.02 degrees
Positions (direct):
V (0.001, 0.249, 0.000)
V (0.999, 0.751, 0.000)
Ag (0.373, 0.258, 0.530)
Ag (0.627, 0.742, 0.470)
Se (0.039, 0.890, 0.724)
Se (0.183, 0.620, 0.289)
Se (0.289, 0.453, 0.880)
Se (0.353, 0.059, 0.137)
Se (0.647, 0.941, 0.863)
Se (0.711, 0.547, 0.120)
Se (0.817, 0.380, 0.711)
Se (0.961, 0.110, 0.276)

# 4
Below is TmThMg2 after structural relaxation, with properties calculated at the PBE level.

Computed properties:
The space group is R-3m. The formation enthalpy at 0 K comes out at 0.075 eV/atom. The energy above the most stable polymorph in this dataset comes out at 68 meV per atom.

Cell lengths 3.391, 3.391, 33.891 Å; angles 90.00, 90.00, 120.00 degrees
Positions (direct):
Tm (0.000, 0.000, 0.000)
Tm (0.333, 0.667, 0.667)
Tm (0.667, 0.333, 0.333)
Th (0.000, 0.000, 0.500)
Th (0.333, 0.667, 0.167)
Th (0.667, 0.333, 0.833)
Mg (0.000, 0.000, 0.253)
Mg (0.000, 0.000, 0.747)
Mg (0.333, 0.667, 0.414)
Mg (0.333, 0.667, 0.919)
Mg (0.667, 0.333, 0.081)
Mg (0.667, 0.333, 0.586)

# 5
Below is Na3SiC after structural relaxation, with properties calculated at the PBE level.

Computed properties:
The space group is Pm-3m. The uncorrected energy is -2.542 eV per atom.

Cell lengths 4.841, 4.841, 4.841 Å; angles 90.00, 90.00, 90.00 degrees
Positions (direct):
Na (0.000, 0.000, 0.500)
Na (0.000, 0.500, 0.000)
Na (0.500, 0.000, 0.000)
Si (0.500, 0.500, 0.500)
C (0.000, 0.000, 0.000)

# 6
Below is ZnPRu2 after structural relaxation, with properties calculated at the PBE level.

Computed properties:
The space group is I-4m2. The formation enthalpy at 0 K comes out at 0.139 eV/atom. The energy above the most stable polymorph in this dataset comes out at 396 meV per atom.

Cell lengths 3.607, 3.607, 8.314 Å; angles 90.00, 90.00, 90.00 degrees
Positions (direct):
Zn (0.000, 0.000, 0.000)
Zn (0.500, 0.500, 0.500)
P (0.000, 0.500, 0.750)
P (0.500, 0.000, 0.250)
Ru (0.000, 0.000, 0.500)
Ru (0.000, 0.500, 0.250)
Ru (0.500, 0.000, 0.750)
Ru (0.500, 0.500, 0.000)

# 7
Below is Nd8Zn2Ni after structural relaxation, with properties calculated at the PBE level.

Computed properties:
The space group is Cm. The formation enthalpy at 0 K comes out at -0.089 eV/atom. The energy above the most stable polymorph in this dataset comes out at 31 meV per atom.

Cell lengths 9.047, 9.047, 6.297 Å; angles 103.67, 103.67, 129.80 degrees
Positions (direct):
Nd (0.000, 0.000, 0.000)
Nd (0.075, 0.471, 0.208)
Nd (0.118, 0.889, 0.527)
Nd (0.432, 0.666, 0.871)
Nd (0.471, 0.075, 0.208)
Nd (0.540, 0.540, 0.355)
Nd (0.666, 0.432, 0.871)
Nd (0.889, 0.118, 0.527)
Zn (0.552, 0.996, 0.697)
Zn (0.996, 0.552, 0.697)
Ni (0.280, 0.280, 0.517)

# 8
Below is K2LaSb after structural relaxation, with properties calculated at the PBE level.

Computed properties:
The space group is I-42d. The uncorrected energy is -2.887 eV per atom.

Cell lengths 11.782, 11.782, 6.238 Å; angles 90.00, 90.00, 90.00 degrees
Positions (direct):
K (0.146, 0.250, 0.125)
K (0.250, 0.646, 0.375)
K (0.250, 0.854, 0.875)
K (0.354, 0.250, 0.625)
K (0.646, 0.750, 0.625)
K (0.750, 0.146, 0.875)
K (0.750, 0.354, 0.375)
K (0.854, 0.750, 0.125)
La (0.000, 0.000, 0.500)
La (0.000, 0.500, 0.750)
La (0.500, 0.000, 0.250)
La (0.500, 0.500, 0.000)
Sb (0.000, 0.000, 0.000)
Sb (0.000, 0.500, 0.250)
Sb (0.500, 0.000, 0.750)
Sb (0.500, 0.500, 0.500)

# 9
Below is MgAu2Br after structural relaxation, with properties calculated at the PBE level.

Computed properties:
The space group is Pmmm. The energy above the most stable polymorph in this dataset comes out at 269 meV per atom.

Cell lengths 3.897, 3.912, 5.648 Å; angles 90.00, 90.00, 90.00 degrees
Positions (direct):
Mg (0.000, 0.000, 0.000)
Au (0.000, 0.500, 0.500)
Au (0.500, 0.000, 0.500)
Br (0.500, 0.500, 0.000)

# 10
Below is ScTc2HCl after structural relaxation, with properties calculated at the PBE level.

Computed properties:
The space group is P4/mmm. The uncorrected energy is -4.787 eV per atom.

Cell lengths 4.961, 4.961, 4.898 Å; angles 90.00, 90.00, 90.00 degrees
Positions (direct):
Sc (0.000, 0.000, 0.000)
Tc (0.000, 0.500, 0.000)
Tc (0.500, 0.000, 0.000)
H (0.500, 0.500, 0.500)
Cl (0.000, 0.000, 0.500)

# 11
Below is Ce2Tm after structural relaxation, with properties calculated at the PBE level.

Computed properties:
The space group is I4/mmm. The formation enthalpy at 0 K comes out at 0.073 eV/atom. The energy above the most stable polymorph in this dataset comes out at 0 meV per atom.

Cell lengths 3.420, 3.420, 14.576 Å; angles 90.00, 90.00, 90.00 degrees
Positions (direct):
Ce (0.000, 0.000, 0.172)
Ce (0.000, 0.000, 0.828)
Ce (0.500, 0.500, 0.328)
Ce (0.500, 0.500, 0.672)
Tm (0.000, 0.000, 0.500)
Tm (0.500, 0.500, 0.000)

# 12
Below is TbGa3CuPd after structural relaxation, with properties calculated at the PBE level.

Computed properties:
The space group is Cmcm. The formation enthalpy at 0 K comes out at -0.368 eV/atom.

Cell lengths 6.854, 6.854, 5.979 Å; angles 90.00, 90.00, 128.74 degrees
Positions (direct):
Tb (0.210, 0.790, 0.750)
Tb (0.790, 0.210, 0.250)
Ga (0.212, 0.212, 0.000)
Ga (0.212, 0.212, 0.500)
Ga (0.358, 0.642, 0.250)
Ga (0.642, 0.358, 0.750)
Ga (0.788, 0.788, 0.000)
Ga (0.788, 0.788, 0.500)
Cu (0.429, 0.571, 0.750)
Cu (0.571, 0.429, 0.250)
Pd (0.152, 0.848, 0.250)
Pd (0.848, 0.152, 0.750)

M_tot (computed, μB/atom): 0.00; 0.00; 0.00; 0.00; 0.00; 0.00; 0.00; 0.00; 0.00; 1.05; 0.00; 0.00
Ρ (computed, kg/m³): 15737; 3405; 6168; 6637; 1596; 9164; 6784; 2599; 9607; 3822; 8750; 8158